LiRe2Ir | PBE | optimized geometry

Unit cell a=2.8399 b=4.5634 c=9.1553 alpha=90.00 beta=90.00 gamma=90.00
Last column: nearest neighbours and their distance in Å.
Space group Cmm2 (No. 35)
Inequivalent atoms, fractional coordinates:
Li  0.0000  0.0000  0.0000 [2 per cell]  2 Ir 2.64, 6 Li 2.69-2.84, 2 Re 2.77
Re  0.0000  0.0000  0.4951 [2 per cell]  8 Re 2.65-2.84, 2 Ir 2.71
Re  0.0000  0.5000  0.7400 [2 per cell]  8 Re 2.65-2.84, 2 Li 2.77
Ir  0.0000  0.5000  0.2426 [2 per cell]  2 Li 2.64, 6 Ir 2.69-2.84, 2 Re 2.71

Summary:
Energy of formation: 0.200 eV per atom
Crystal system: orthorhombic

***

Na2CrP | PBE | optimized geometry

Unit cell a=6.8615 b=6.8615 c=6.8615 alpha=90.00 beta=90.00 gamma=90.00
Last column: nearest neighbours and their distance in Å.
Space group Fm-3m (No. 225)
Inequivalent atoms, fractional coordinates:
Na  0.2500  0.2500  0.2500 [8 per cell]  4 Cr 2.97, 4 P 2.97
Cr  0.0000  0.0000  0.0000 [4 per cell]  8 Na 2.97
P  0.0000  0.0000  0.5000 [4 per cell]  8 Na 2.97

Summary:
Energy of formation: 0.395 eV per atom
E above lowest polymorph: 37 meV/atom
Crystal system: cubic

***

Si2AgRh | PBE | optimized geometry

Unit cell a=3.0735 b=3.1253 c=6.3461 alpha=90.00 beta=90.00 gamma=90.00
Last column: nearest neighbours and their distance in Å.
Space group Pmmm (No. 47)
Inequivalent atoms, fractional coordinates:
Si  0.0000  0.0000  0.2139 [2 per cell]  4 Rh 2.58, 1 Si 2.71, 4 Ag 2.85
Ag  0.5000  0.5000  0.5000 [1 per cell]  8 Si 2.85, 4 Ag 3.07-3.13, 2 Rh 3.17
Rh  0.5000  0.5000  0.0000 [1 per cell]  8 Si 2.58

Summary:
Formation energy from raw total energies: -0.05 eV per formula unit
E above lowest polymorph: 157 meV/atom
Crystal system: orthorhombic

***

Dy2IrBr | PBE | optimized geometry

Unit cell a=3.4106 b=3.4106 c=8.1985 alpha=90.00 beta=90.00 gamma=90.00
Last column: nearest neighbours and their distance in Å.
Space group P4/mmm (No. 123)
Inequivalent atoms, fractional coordinates:
Dy  0.0000  0.0000  0.2049 [2 per cell]  4 Ir 2.94
Ir  0.5000  0.5000  0.0000 [1 per cell]  8 Dy 2.94
Br  0.5000  0.5000  0.5000 [1 per cell]  4 Br 3.41, 8 Dy 3.42

Summary:
Formation energy from raw total energies: -3.73 eV per formula unit
E above lowest polymorph: 186 meV/atom
Crystal system: tetragonal

***

Here are the calculated DOS at the Fermi energy numbers, same order: 0.97, 0.27, 0.73, 0.41 (states/eV per atom).